The following is a DFT calculation (PBE-GGA) of crystalline SrCdOs at its relaxed geometry.

Cell: 4.799 4.799 4.799 Å, 60.00 60.00 60.00°
Atoms (fractional coordinates):
Sr 0.000 0.000 0.000
Cd 0.500 0.500 0.500
Os 0.750 0.750 0.750

Summary:
Uncorrected energy ... -3.73 eV per atom
Mass density ... 8.29 g/cm³